No. 1
V5GaH GGA-PBE relaxed; crystal system = monoclinic; uncorrected energy = -7.473 eV per atom; DOS(E_F) = 9.77 states/eV per cell
1.0
-4.703 0.145 -1.855
-3.287 -3.521 1.540
-5.981 2.791 5.507
V Ga H
10 2 2
Direct
0.034 0.624 0.082 V
0.123 0.526 0.587 V
0.624 0.034 0.582 V
0.992 0.008 0.250 V
0.474 0.877 0.913 V
0.526 0.123 0.087 V
0.008 0.992 0.750 V
0.376 0.966 0.418 V
0.877 0.474 0.413 V
0.966 0.376 0.918 V
0.490 0.510 0.250 Ga
0.510 0.490 0.750 Ga
0.000 0.000 0.000 H
0.000 0.000 0.500 H

---

No. 2
EuDy2Tl GGA-PBE relaxed; crystal system = tetragonal; calculated formation energy = -0.106 eV per atom; DOS(E_F) = 4.74 states/eV per cell
1.0
-0.882 2.104 2.901
-0.030 -2.991 2.161
9.054 1.246 1.849
Eu Tl Dy
1 1 2
Direct
0.500 0.500 0.500 Eu
0.500 0.500 0.000 Tl
0.000 0.000 0.787 Dy
0.000 0.000 0.213 Dy

---

No. 3
Y2FeHg GGA-PBE relaxed; crystal system = tetragonal; calculated formation energy = 0.071 eV per atom; DOS(E_F) = 3.98 states/eV per cell
1.0
-2.780 -1.632 2.232
-1.157 -2.189 -3.041
4.111 -4.607 1.752
Fe Hg Y
1 1 2
Direct
0.000 0.000 0.459 Fe
0.500 0.500 0.764 Hg
0.000 0.000 0.968 Y
0.500 0.500 0.309 Y

---

No. 4
Pm8Ga3CoBr4 GGA-PBE relaxed; crystal system = monoclinic; E_form (uncorrected) = -825 meV/atom; DOS(E_F) = 13.38 states/eV per cell
1.0
-6.255 -1.445 5.354
0.928 -8.713 -1.268
6.692 4.435 2.490
Pm Ga Co Br
8 3 1 4
Direct
0.225 0.711 0.986 Pm
0.227 0.714 0.454 Pm
0.255 0.265 0.510 Pm
0.761 0.711 0.986 Pm
0.239 0.289 0.014 Pm
0.745 0.735 0.490 Pm
0.773 0.286 0.546 Pm
0.775 0.289 0.014 Pm
0.500 0.500 0.000 Ga
0.500 0.500 0.500 Ga
0.000 0.500 0.500 Ga
0.000 0.500 0.000 Co
0.500 0.000 0.000 Br
0.500 0.000 0.500 Br
0.000 0.000 0.000 Br
0.000 0.000 0.500 Br

---

No. 5
GdPt4Rh GGA-PBE relaxed; crystal system = cubic; calculated formation energy = -0.523 eV per atom; DOS(E_F) = 5.76 states/eV per cell
1.0
-3.021 -2.522 -3.590
-3.991 -3.138 1.611
-5.050 1.511 -0.764
Gd Rh Pt
1 1 4
Direct
0.000 0.000 0.000 Gd
0.250 0.250 0.250 Rh
0.624 0.624 0.127 Pt
0.624 0.127 0.624 Pt
0.624 0.624 0.624 Pt
0.127 0.624 0.624 Pt

---

No. 6
Co3H GGA-PBE relaxed; crystal system = orthorhombic; uncorrected energy = -6.007 eV per atom; DOS(E_F) = 4.46 states/eV per cell
1.0
2.467 0.000 0.000
0.000 4.186 0.000
-1.234 -2.093 3.418
H Co
1 3
Direct
0.000 0.010 0.000 H
0.314 0.698 0.628 Co
0.500 0.389 0.000 Co
0.686 0.070 0.372 Co

---

No. 7
SiMoBr2 GGA-PBE relaxed; crystal system = monoclinic; E_form (uncorrected) = 32 meV/atom; DOS(E_F) = 2.56 states/eV per cell
1.0
8.201 0.017 -0.116
7.557 3.186 -0.116
0.841 0.171 3.789
Br Mo Si
2 1 1
Direct
0.108 0.108 0.917 Br
0.392 0.392 0.583 Br
0.750 0.750 0.750 Mo
0.250 0.250 0.250 Si

---

No. 8
MgTiW3 GGA-PBE relaxed; crystal system = cubic; calculated formation energy = 2.284 eV per atom; DOS(E_F) = 5.70 states/eV per cell
1.0
-3.349 -1.332 2.801
2.926 -2.725 2.202
1.029 3.411 2.854
Mg W Ti
1 3 1
Direct
0.000 0.000 0.000 Mg
0.000 0.500 0.000 W
0.000 0.000 0.500 W
0.500 0.000 0.000 W
0.500 0.500 0.500 Ti

---

No. 9
Sr2Ge4Rh3 GGA-PBE relaxed; crystal system = orthorhombic; calculated formation energy = -0.564 eV per atom; DOS(E_F) = 3.82 states/eV per cell
1.0
5.819 -0.167 0.000
-2.852 5.075 0.000
-1.483 -2.454 6.333
Sr Ge Rh
2 4 3
Direct
0.634 0.634 0.269 Sr
0.366 0.366 0.731 Sr
0.027 0.674 0.701 Ge
0.674 0.027 0.701 Ge
0.973 0.326 0.299 Ge
0.326 0.973 0.299 Ge
0.500 0.000 0.000 Rh
0.000 0.000 0.000 Rh
0.000 0.500 0.000 Rh

---

No. 10
Ce2Ho5Sb4 GGA-PBE relaxed; crystal system = monoclinic; E_form (uncorrected) = -426 meV/atom; DOS(E_F) = 22.04 states/eV per cell
1.0
-0.027 4.022 -0.788
-6.386 0.414 2.331
4.523 0.375 12.422
Ce Ho Sb
2 5 4
Direct
0.912 0.709 0.825 Ce
0.088 0.291 0.175 Ce
0.150 0.798 0.301 Ho
0.850 0.202 0.699 Ho
0.235 0.225 0.471 Ho
0.500 0.000 0.000 Ho
0.765 0.775 0.529 Ho
0.672 0.472 0.345 Sb
0.038 0.716 0.076 Sb
0.328 0.528 0.655 Sb
0.962 0.284 0.924 Sb

---

No. 11
CsNaZn3 GGA-PBE relaxed; crystal system = cubic; calculated formation energy = 0.684 eV per atom; DOS(E_F) = 2.74 states/eV per cell
1.0
6.622 0.000 0.000
0.000 6.622 0.000
0.000 0.000 6.622
Cs Na Zn
1 1 3
Direct
0.000 0.000 0.000 Cs
0.500 0.500 0.500 Na
0.000 0.500 0.000 Zn
0.000 0.000 0.500 Zn
0.500 0.000 0.000 Zn

---

No. 12
Ni2AsAu GGA-PBE relaxed; crystal system = orthorhombic; calculated formation energy = 0.012 eV per atom; DOS(E_F) = 2.17 states/eV per cell
1.0
6.239 0.827 -0.393
4.071 4.800 0.393
-5.188 -2.754 2.296
As Au Ni
1 1 2
Direct
0.545 0.545 0.000 As
0.296 0.796 0.500 Au
0.986 0.986 0.000 Ni
0.673 0.173 0.500 Ni

---

No. 13
Ag3Pd7Au GGA-PBE relaxed; crystal system = monoclinic; calculated formation energy = 0.259 eV per atom; DOS(E_F) = 15.20 states/eV per cell
1.0
-2.119 -2.103 4.160
4.137 -4.136 -3.897
6.020 3.507 0.926
Ag Pd Au
3 7 1
Direct
0.000 0.797 0.203 Ag
0.500 0.000 0.000 Ag
0.000 0.203 0.797 Ag
0.419 0.224 0.224 Pd
0.328 0.073 0.579 Pd
0.672 0.421 0.927 Pd
0.328 0.579 0.073 Pd
0.000 0.500 0.500 Pd
0.672 0.927 0.421 Pd
0.581 0.776 0.776 Pd
0.500 0.500 0.500 Au

---

No. 14
TaTcMo2 GGA-PBE relaxed; crystal system = orthorhombic; calculated formation energy = -0.060 eV per atom; DOS(E_F) = 3.26 states/eV per cell
1.0
-1.311 -1.541 1.900
2.706 0.168 0.593
-1.519 7.294 4.867
Mo Ta Tc
2 1 1
Direct
0.000 0.000 0.998 Mo
0.500 0.500 0.245 Mo
0.000 0.000 0.504 Ta
0.500 0.500 0.753 Tc

---

No. 15
Nd3ScAs4 GGA-PBE relaxed; crystal system = tetragonal; calculated formation energy = -1.421 eV per atom; DOS(E_F) = 0.79 states/eV per cell
1.0
-4.192 -0.315 0.051
0.289 -4.024 -1.182
0.385 -3.296 11.321
Sc As Nd
1 4 3
Direct
0.000 0.000 0.000 Sc
0.000 0.000 0.239 As
0.500 0.500 0.000 As
0.000 0.000 0.761 As
0.500 0.500 0.500 As
0.500 0.500 0.755 Nd
0.000 0.000 0.500 Nd
0.500 0.500 0.245 Nd

---

No. 16
SrIn2Os GGA-PBE relaxed; crystal system = tetragonal; calculated formation energy = 0.471 eV per atom; DOS(E_F) = 1.34 states/eV per cell
1.0
-2.177 1.905 -4.653
-2.496 -4.811 -0.802
-9.338 1.436 1.731
Sr Os In
2 2 4
Direct
0.500 0.500 0.000 Sr
0.250 0.750 0.500 Sr
0.000 0.000 0.000 Os
0.750 0.250 0.500 Os
0.812 0.125 0.250 In
0.938 0.625 0.250 In
0.375 0.188 0.750 In
0.875 0.062 0.750 In

---

No. 17
Cs3EuF6 GGA-PBE relaxed; crystal system = tetragonal; E_form (uncorrected) = -3004 meV/atom; DOS(E_F) = 11.06 states/eV per cell
1.0
7.275 -0.036 -0.052
-3.595 6.324 0.052
-3.595 -2.117 5.960
Eu Cs F
1 3 6
Direct
0.000 0.000 0.000 Eu
0.500 0.750 0.250 Cs
0.000 0.500 0.500 Cs
0.500 0.250 0.750 Cs
0.695 0.695 0.000 F
0.695 0.000 0.695 F
0.305 0.000 0.305 F
0.305 0.305 0.000 F
0.000 0.774 0.774 F
0.000 0.226 0.226 F

---

No. 18
Er3Al5Cu GGA-PBE relaxed; crystal system = hexagonal; calculated formation energy = -0.486 eV per atom; DOS(E_F) = 3.88 states/eV per cell
1.0
-1.947 -2.580 -2.869
6.165 -2.530 -1.909
-3.550 -3.023 5.129
Er Al Cu
3 5 1
Direct
0.000 0.000 0.411 Er
0.000 0.411 0.000 Er
0.000 0.589 0.589 Er
0.500 0.667 0.333 Al
0.500 0.333 0.667 Al
0.500 0.236 0.236 Al
0.500 0.764 0.000 Al
0.500 0.000 0.764 Al
0.000 0.000 0.000 Cu

---

No. 19
Al3PbSe GGA-PBE relaxed; crystal system = cubic; E_form (uncorrected) = 847 meV/atom; DOS(E_F) = 3.40 states/eV per cell
1.0
5.420 0.000 0.000
0.000 5.420 0.000
0.000 0.000 5.420
Pb Al Se
1 3 1
Direct
0.000 0.000 0.000 Pb
0.000 0.500 0.000 Al
0.000 0.000 0.500 Al
0.500 0.000 0.000 Al
0.500 0.500 0.500 Se

---

No. 20
SnHgBiF2 GGA-PBE relaxed; crystal system = tetragonal; E_form (uncorrected) = -1211 meV/atom; DOS(E_F) = 3.12 states/eV per cell
1.0
-0.596 4.378 0.566
-0.283 -0.607 4.404
6.190 0.777 0.505
F Bi Sn Hg
2 1 1 1
Direct
0.000 0.500 0.000 F
0.500 0.000 0.000 F
0.000 0.000 0.500 Bi
0.000 0.000 0.000 Sn
0.500 0.500 0.500 Hg

---

No. 21
MnMoPb2 GGA-PBE relaxed; crystal system = tetragonal; calculated formation energy = 0.700 eV per atom; DOS(E_F) = 3.32 states/eV per cell
1.0
-1.108 2.604 -2.274
0.387 -2.281 -2.801
-5.940 -1.895 0.723
Mn Mo Pb
1 1 2
Direct
0.500 0.500 0.250 Mn
0.500 0.500 0.750 Mo
0.000 0.000 0.996 Pb
0.000 0.000 0.504 Pb

---

No. 22
LiTe GGA-PBE relaxed; crystal system = cubic; E_form (uncorrected) = -274 meV/atom; DOS(E_F) = 17.87 states/eV per cell
1.0
-1.164 0.064 7.604
7.604 -0.113 1.165
0.121 7.692 -0.046
Li Te
6 6
Direct
0.250 0.000 0.500 Li
0.750 0.000 0.500 Li
0.000 0.500 0.250 Li
0.000 0.500 0.750 Li
0.500 0.250 0.000 Li
0.500 0.750 0.000 Li
0.250 0.500 0.000 Te
0.750 0.500 0.000 Te
0.500 0.000 0.250 Te
0.500 0.000 0.750 Te
0.000 0.250 0.500 Te
0.000 0.750 0.500 Te

---

No. 23
SnGePd3 GGA-PBE relaxed; crystal system = cubic; calculated formation energy = 0.002 eV per atom; DOS(E_F) = 2.83 states/eV per cell
1.0
-3.905 0.955 2.407
-2.531 -0.486 -3.914
-0.548 -4.562 0.921
Ge Sn Pd
1 1 3
Direct
0.000 0.000 0.000 Ge
0.500 0.500 0.500 Sn
0.000 0.500 0.000 Pd
0.000 0.000 0.500 Pd
0.500 0.000 0.000 Pd

---

No. 24
Sc2AlH GGA-PBE relaxed; crystal system = tetragonal; uncorrected energy = -5.066 eV per atom; DOS(E_F) = 4.26 states/eV per cell
1.0
3.009 0.000 0.000
0.000 3.009 0.000
0.000 0.000 7.013
Sc H Al
2 1 1
Direct
0.000 0.000 0.788 Sc
0.000 0.000 0.212 Sc
0.500 0.500 0.000 H
0.500 0.500 0.500 Al

---

No. 25
TaAl3Re GGA-PBE relaxed; crystal system = cubic; calculated formation energy = 0.909 eV per atom; DOS(E_F) = 4.02 states/eV per cell
1.0
4.650 0.000 0.000
0.000 4.650 0.000
0.000 0.000 4.650
Re Al Ta
1 3 1
Direct
0.000 0.000 0.000 Re
0.000 0.500 0.000 Al
0.000 0.000 0.500 Al
0.500 0.000 0.000 Al
0.500 0.500 0.500 Ta